No. 1
# Ba6Na2Hg

A relaxed structure of Ba6Na2Hg (PBE, the Alexandria database).

energy = -1.678 eV/atom
energy of formation from the pure elements = -69 meV per atom

a = 7.7858 Å, b = 10.5309 Å, c = 14.1332 Å
α = 90.00°, β = 121.38°, γ = 90.00°
Last column: nearest neighbours and their distance in Å.
Space group P2_1/c (No. 14)
One atom of each set of equivalent atoms:
Ba 0.0604 0.1878 0.4462  1 Hg 3.46, 1 Na 3.85
Ba 0.3246 0.6738 0.4451  1 Hg 3.52, 2 Na 3.89-3.93
Ba 0.3820 0.0284 0.2682  1 Hg 3.40
Na 0.1497 0.1161 0.7456  8 Ba 3.85-4.19
Hg 0.0000 0.0000 0.0000  6 Ba 3.40-3.52

***

No. 2
# Ba8NaHg2

A relaxed structure of Ba8NaHg2 (PBE, the Alexandria database).

energy = -1.731 eV/atom
energy of formation from the pure elements = -158 meV per atom
excess energy over the best structure of this formula in the dataset = 0.00 kcal/mol of atoms

a = 6.1802 Å, b = 8.4799 Å, c = 11.3871 Å
α = 106.43°, β = 105.73°, γ = 90.05°
Last column: nearest neighbours and their distance in Å.
Space group P1 (No. 1)
One atom of each set of equivalent atoms:
Ba 0.0000 0.0000 0.0000  3 Hg 3.51-3.77
Ba 0.0589 0.5982 0.1176  2 Hg 3.59, 1 Na 3.76, 1 Ba 3.98
Ba 0.2500 0.0815 0.4993  1 Na 3.73, 2 Hg 3.80-3.81, 3 Ba 4.07-4.09
Ba 0.3748 0.8080 0.7484  3 Hg 3.52-3.84, 1 Na 3.81
Ba 0.4472 0.3360 0.8945  1 Hg 3.69
Ba 0.6259 0.1955 0.2512  1 Hg 3.51
Ba 0.6956 0.7536 0.3908  2 Hg 3.50-3.67
Ba 0.8369 0.4461 0.6732  1 Hg 3.46
Na 0.2121 0.4822 0.4232  7 Ba 3.73-4.04
Hg 0.5314 0.7818 0.0627  8 Ba 3.51-3.77
Hg 0.8468 0.0462 0.6924  7 Ba 3.46-3.84

***

No. 3
# Ba4Na5Hg6

A relaxed structure of Ba4Na5Hg6 (PBE, the Alexandria database).

energy = -1.390 eV/atom
energy of formation from the pure elements = -317 meV per atom

a = 4.7680 Å, b = 26.1260 Å, c = 17.1266 Å
α = 90.00°, β = 90.00°, γ = 90.00°
Last column: nearest neighbours and their distance in Å.
Space group Cmc2_1 (No. 36)
One atom of each set of equivalent atoms:
Ba 0.0000 0.0283 0.0000  7 Hg 3.52-3.84
Ba 0.0000 0.0542 0.2808  6 Hg 3.64-3.65, 2 Na 4.02
Ba 0.0000 0.1319 0.7751  6 Hg 3.51-3.58
Ba 0.0000 0.1837 0.4301  6 Hg 3.39-3.62
Na 0.0000 0.1813 0.1048  3 Hg 3.30-3.38, 5 Na 3.44-3.56
Na 0.0000 0.3098 0.7487  3 Hg 3.18-3.28, 2 Na 3.44
Na 0.0000 0.3176 0.1041  3 Hg 3.18-3.30, 1 Na 3.56
Na 0.0000 0.3504 0.4594  4 Hg 3.14-3.42
Na 0.0000 0.4621 0.1549  4 Hg 3.14-3.40
Hg 0.0000 0.0968 0.5768  4 Na 3.14-3.30, 1 Ba 3.39, 2 Hg 3.40
Hg 0.0000 0.2242 0.9237  3 Na 3.14-3.30, 3 Ba 3.39-3.51, 2 Hg 3.50
Hg 0.0000 0.2690 0.2744  3 Na 3.18, 3 Ba 3.48-3.52, 2 Hg 3.50
Hg 0.0000 0.4087 0.6308  5 Na 3.28-3.40, 4 Ba 3.64-3.66
Hg 0.0000 0.4206 0.9377  3 Hg 3.40-3.52, 4 Ba 3.62-3.65
Hg 0.0000 0.4586 0.3473  2 Na 3.30-3.42, 1 Hg 3.52, 6 Ba 3.56-3.64

***

No. 4
# BaNa4Hg

A relaxed structure of BaNa4Hg (PBE, the Alexandria database).

energy = -1.255 eV/atom
energy of formation from the pure elements = -5 meV per atom
excess energy over the best structure of this formula in the dataset = 2.71 kcal/mol of atoms

a = 9.4965 Å, b = 9.4965 Å, c = 9.4965 Å
α = 90.00°, β = 90.00°, γ = 90.00°
Last column: nearest neighbours and their distance in Å.
Space group F-43m (No. 216)
One atom of each set of equivalent atoms:
Ba 0.0000 0.0000 0.0000  12 Na 3.94, 4 Hg 4.11
Na 0.1234 0.1234 0.3766  6 Na 3.31-3.40
Hg 0.2500 0.2500 0.7500  12 Na 3.93, 4 Ba 4.11

***

No. 5
# BaNa6Hg2

A relaxed structure of BaNa6Hg2 (PBE, the Alexandria database).

energy = -1.331 eV/atom
energy of formation from the pure elements = -171 meV per atom

a = 4.8725 Å, b = 4.8725 Å, c = 13.0108 Å
α = 90.00°, β = 90.00°, γ = 90.00°
Last column: nearest neighbours and their distance in Å.
Space group P4/mmm (No. 123)
One atom of each set of equivalent atoms:
Ba 0.0000 0.0000 0.0000  8 Hg 3.77
Na 0.0000 0.0000 0.5000  12 Na 3.45-3.80
Na 0.0000 0.5000 0.2762  2 Hg 3.19, 4 Na 3.45
Na 0.5000 0.5000 0.5000  12 Na 3.45-3.80
Hg 0.5000 0.5000 0.1184  1 Hg 3.08, 4 Na 3.19

***

No. 6
# Ba2NaHg3

A relaxed structure of Ba2NaHg3 (PBE, the Alexandria database).

energy = -1.395 eV/atom
energy of formation from the pure elements = -383 meV per atom
excess energy over the best structure of this formula in the dataset = 1.01 kcal/mol of atoms

a = 8.5719 Å, b = 10.6228 Å, c = 18.3016 Å
α = 90.00°, β = 90.00°, γ = 90.00°
Last column: nearest neighbours and their distance in Å.
Space group Fmmm (No. 69)
One atom of each set of equivalent atoms:
Ba 0.2468 0.0000 0.0000  10 Hg 3.73-3.75, 2 Na 3.74
Ba 0.2500 0.2500 0.2500  8 Hg 3.72-3.73, 4 Na 3.74
Na 0.0000 0.0000 0.3336  3 Hg 3.04-3.05
Hg 0.0000 0.0000 0.1677  1 Na 3.04, 2 Hg 3.07
Hg 0.0000 0.2491 0.4160  1 Na 3.05, 2 Hg 3.07